This record from Alexandria describes NiWO2 after structural relaxation. The functional is PBE with a Hubbard U.

The space group is P1 (No. 1) and the conventional cell measures 4.959, 5.267 and 5.461 Å, with angles of 63.50, 63.66 and 65.31 degrees. The inequivalent atoms are Ni at (0.000, 0.000, 0.000), Ni at (0.087, 0.470, 0.562), W at (0.466, 0.323, 0.865), W at (0.722, 0.626, 0.040), O at (0.098, 0.536, 0.158), O at (0.337, 0.952, 0.144), O at (0.557, 0.376, 0.459) and O at (0.637, 0.701, 0.699).

The value obtained for the relative energy among the computed polymorphs is 0.130 eV per atom. The density comes out at 8.29 g/cm3. For the final energy, the calculation gives -5.670 eV per atom. Its total magnetization is 2.00 μB per formula unit.